[1]
# MnBH3 (GGA-PBE, relaxed)
data_MnBH3
_space_group_name_H-M_alt 'P 1'
_space_group_IT_number 1
_space_group_name_Hall 'P 1'
_cell_length_a 3.180
_cell_length_b 3.180
_cell_length_c 3.180
_cell_angle_alpha 90.00
_cell_angle_beta 90.00
_cell_angle_gamma 90.00
loop_
_atom_site_label
_atom_site_type_symbol
_atom_site_fract_x
_atom_site_fract_y
_atom_site_fract_z
_atom_site_occupancy
Mn1 Mn 0.000 0.000 0.000 1
B1 B 0.500 0.500 0.500 1
H1 H 0.000 0.000 0.500 1
H2 H 0.000 0.500 0.000 1
H3 H 0.500 0.000 0.000 1
# Calculated volume = 32.1 Å³/cell
# Energy above the most stable polymorph in this dataset = 14.52 kJ per mole of atoms
# Total magnetization = 1.75 μB per formula unit

---

[2]
# Sc2ReBr (GGA-PBE, relaxed)
data_Sc2ReBr
_space_group_name_H-M_alt 'P 1'
_space_group_IT_number 1
_space_group_name_Hall 'P 1'
_cell_length_a 3.302
_cell_length_b 3.302
_cell_length_c 7.557
_cell_angle_alpha 90.00
_cell_angle_beta 90.00
_cell_angle_gamma 90.00
loop_
_atom_site_label
_atom_site_type_symbol
_atom_site_fract_x
_atom_site_fract_y
_atom_site_fract_z
_atom_site_occupancy
Sc1 Sc 0.000 0.000 0.202 1
Sc2 Sc 0.000 0.000 0.798 1
Re1 Re 0.500 0.500 0.000 1
Br1 Br 0.500 0.500 0.500 1
# Energy relative to the elements, uncorrected = -0.50 eV per atom
# Calculated volume = 82.4 Å³/cell
# Energy above the most stable polymorph in this dataset = 3.53 kJ per mole of atoms
# Total magnetization = 0.00 μB per formula unit

---

[3]
# LaHoCdAu (GGA-PBE, relaxed)
data_LaHoCdAu
_space_group_name_H-M_alt 'P 1'
_space_group_IT_number 1
_space_group_name_Hall 'P 1'
_cell_length_a 5.317
_cell_length_b 5.317
_cell_length_c 5.317
_cell_angle_alpha 60.00
_cell_angle_beta 60.00
_cell_angle_gamma 60.00
loop_
_atom_site_label
_atom_site_type_symbol
_atom_site_fract_x
_atom_site_fract_y
_atom_site_fract_z
_atom_site_occupancy
La1 La 0.000 0.000 0.000 1
Ho1 Ho 0.500 0.500 0.500 1
Cd1 Cd 0.250 0.250 0.250 1
Au1 Au 0.750 0.750 0.750 1
# Calculated volume = 106.3 Å³/cell
# Energy above the most stable polymorph in this dataset = 4.85 kJ per mole of atoms
# Total magnetization = 0.00 μB per formula unit
# Calculated formation energy = -50.7 kJ per mole of atoms